Entry 1:
{"formula": "SmYAsP", "functional": "PBE-GGA", "state": "relaxed", "lattice": [[4.1215, 0.0000, 0.0000], [0.0000, 4.1215, 0.0000], [0.0000, 0.0000, 5.8151]], "species": ["Sm", "Y", "As", "P"], "frac_coords": [[0.0000, 0.0000, 0.0000], [0.5000, 0.5000, 0.5000], [0.5000, 0.5000, 0.0000], [0.0000, 0.0000, 0.5000]], "crystal_system": "tetragonal"}

=====

Entry 2:
{"formula": "Sn3As2P", "functional": "PBE-GGA", "state": "relaxed", "lattice": [[-2.0248, 2.0248, 8.6043], [2.0248, -2.0248, 8.6043], [2.0248, 2.0248, -8.6043]], "species": ["Sn", "Sn", "Sn", "As", "As", "P"], "frac_coords": [[0.0000, 0.0000, 0.0000], [0.3380, 0.3380, 0.0000], [0.6620, 0.6620, 0.0000], [0.1672, 0.1672, 0.0000], [0.8328, 0.8328, 0.0000], [0.5000, 0.5000, 0.0000]], "crystal_system": "tetragonal"}

=====

Entry 3:
{"formula": "SnAs2P2", "functional": "PBE-GGA", "state": "relaxed", "lattice": [[8.1301, 0.0000, 0.0000], [0.0000, 8.1301, 0.0000], [0.0000, 0.0000, 3.4027]], "species": ["Sn", "Sn", "As", "As", "As", "As", "P", "P", "P", "P"], "frac_coords": [[0.0000, 0.0000, 0.0000], [0.5000, 0.5000, 0.0000], [0.1603, 0.3397, 0.0000], [0.3397, 0.8397, 0.0000], [0.6603, 0.1603, 0.0000], [0.8397, 0.6603, 0.0000], [0.2006, 0.7006, 0.5000], [0.2994, 0.2006, 0.5000], [0.7006, 0.7994, 0.5000], [0.7994, 0.2994, 0.5000]], "crystal_system": "tetragonal"}

=====

Entry 4:
{"formula": "SnAsP3", "functional": "PBE-GGA", "state": "relaxed", "lattice": [[4.7572, 0.0000, 0.0000], [0.0000, 4.7572, 0.0000], [0.0000, 0.0000, 4.7572]], "species": ["Sn", "As", "P", "P", "P"], "frac_coords": [[0.0000, 0.0000, 0.0000], [0.5000, 0.5000, 0.5000], [0.0000, 0.5000, 0.5000], [0.5000, 0.0000, 0.5000], [0.5000, 0.5000, 0.0000]], "polymorph_energy_ev_per_atom": 0.000, "crystal_system": "cubic"}

=====

Entry 5:
{"formula": "Sn2AsP2", "functional": "PBE-GGA", "state": "relaxed", "lattice": [[-1.7799, 1.7799, 8.4534], [1.7799, -1.7799, 8.4534], [1.7799, 1.7799, -8.4534]], "species": ["Sn", "Sn", "As", "P", "P"], "frac_coords": [[0.1024, 0.1024, 0.0000], [0.8976, 0.8976, 0.0000], [0.5000, 0.5000, 0.0000], [0.2500, 0.7500, 0.5000], [0.7500, 0.2500, 0.5000]], "crystal_system": "tetragonal"}

=====

Entry 6:
{"formula": "Sn3AsP", "functional": "PBE-GGA", "state": "relaxed", "lattice": [[5.3829, 0.0000, 0.0000], [0.0000, 5.3829, 0.0000], [0.0000, 0.0000, 5.3829]], "species": ["Sn", "Sn", "Sn", "As", "P"], "frac_coords": [[0.0000, 0.0000, 0.5000], [0.0000, 0.5000, 0.0000], [0.5000, 0.0000, 0.0000], [0.0000, 0.0000, 0.0000], [0.5000, 0.5000, 0.5000]], "polymorph_energy_ev_per_atom": 0.514, "crystal_system": "cubic"}

=====

Entry 7:
{"formula": "Sn4AsP3", "functional": "PBE-GGA", "state": "relaxed", "lattice": [[2.3230, 1.3412, 11.7399], [-2.3230, 1.3412, 11.7399], [0.0000, -2.6824, 11.7399]], "species": ["Sn", "Sn", "Sn", "Sn", "As", "P", "P", "P"], "frac_coords": [[0.0000, 0.0000, 0.0000], [0.2365, 0.2365, 0.2365], [0.4947, 0.4947, 0.4947], [0.7464, 0.7464, 0.7464], [0.3145, 0.3145, 0.3145], [0.0731, 0.0731, 0.0731], [0.5685, 0.5685, 0.5685], [0.8201, 0.8201, 0.8201]], "crystal_system": "trigonal"}

=====

Entry 8:
{"formula": "SnAs3P", "functional": "PBE-GGA", "state": "relaxed", "lattice": [[5.1875, 0.0000, 0.0000], [0.0000, 5.1875, 0.0000], [0.0000, 0.0000, 5.1875]], "species": ["Sn", "As", "As", "As", "P"], "frac_coords": [[0.0000, 0.0000, 0.0000], [0.0000, 0.0000, 0.5000], [0.0000, 0.5000, 0.0000], [0.5000, 0.0000, 0.0000], [0.5000, 0.5000, 0.5000]], "polymorph_energy_ev_per_atom": 0.816, "crystal_system": "cubic"}

=====

no.,uncorrected energy (eV per atom),formation enthalpy at 0 K (eV per atom)
1,-6.864,-1.553
2,-4.485,-0.032
3,-4.567,0.257
4,-4.184,0.793
5,-4.468,0.227
6,-3.658,0.755
7,-4.495,0.116
8,-3.338,1.334